SCAN Cr2CdFe, single point on PBEsol structure; energy = -20.66 eV per atom; volume = 12.80 A^3/atom
1.0
1.3023 0.7519 8.7126
-1.3023 0.7519 8.7126
0.0000 -1.5037 8.7126
Cr Cd Fe
2 1 1
direct
0.2393 0.2393 0.2393 Cr
0.7607 0.7607 0.7607 Cr
0.0000 0.0000 0.0000 Cd
0.5000 0.5000 0.5000 Fe

SCAN CrCd2Fe, single point on PBEsol structure; energy = -23.96 eV per atom; volume = 16.03 A^3/atom
1.0
-1.9987 1.9987 4.0138
1.9987 -1.9987 4.0138
1.9987 1.9987 -4.0138
Cr Cd Fe
1 2 1
direct
0.0000 0.0000 0.0000 Cr
0.2500 0.7500 0.5000 Cd
0.5000 0.5000 0.0000 Cd
0.7500 0.2500 0.5000 Fe

| no. | total magnetic moment (μB per formula unit) | ΔE_f (eV/atom) |
| --- | --- | --- |
| 1 | 0.000 | 0.669 |
| 2 | 6.373 | 0.372 |